Record 1
# PaGaCu4

A geometry-optimized PaGaCu4 structure (PBE-GGA, Alexandria).

Properties
Distance to the lowest polymorph of the same formula ... 0 meV/atom
Calculated formation energy ... -0.032 eV per atom
Space-group type ... No. 216
VASP energy ... -4.850 eV/atom

Cell and atoms, written as POSCAR:
```
PaGaCu4
1.0
0.000 3.592 3.592
3.592 0.000 3.592
3.592 3.592 0.000
Pa Ga Cu
1 1 4
Cartesian
0.000 0.000 0.000
1.796 1.796 1.796
4.486 2.697 2.697
2.697 4.486 2.697
2.697 2.697 4.486
4.486 4.486 4.486
```

***

Record 2
# PaGa2Cu

A geometry-optimized PaGa2Cu structure (PBE-GGA, Alexandria).

Properties
Calculated formation energy ... -0.073 eV per atom
Space-group type ... No. 225
VASP energy ... -4.984 eV/atom

Cell and atoms, written as POSCAR:
```
PaGa2Cu
1.0
0.000 3.343 3.343
3.343 0.000 3.343
3.343 3.343 0.000
Pa Ga Cu
1 2 1
Cartesian
0.000 0.000 0.000
1.671 1.671 1.671
5.014 5.014 5.014
3.343 3.343 3.343
```

***

Record 3
# Pa2Ga3Cu4

A geometry-optimized Pa2Ga3Cu4 structure (PBE-GGA, Alexandria).

Properties
Calculated formation energy ... -0.140 eV per atom
Space-group type ... No. 64
VASP energy ... -5.080 eV/atom

Cell and atoms, written as POSCAR:
```
Pa2Ga3Cu4
1.0
2.791 -7.406 0.000
2.791 7.406 0.000
0.000 0.000 7.353
Pa Ga Cu
4 6 8
Cartesian
2.791 5.998 6.611
2.791 1.407 2.934
2.791 -1.407 4.418
2.791 -5.998 0.742
0.000 0.000 3.676
1.396 3.547 5.515
1.396 -3.547 1.838
2.791 0.000 0.000
4.187 3.547 5.515
4.187 -3.547 1.838
2.791 4.855 3.699
1.396 1.051 5.515
1.396 -1.051 1.838
2.791 2.551 0.023
2.791 -2.551 7.330
4.187 1.051 5.515
4.187 -1.051 1.838
2.791 -4.855 3.654
```

***

Record 4
# PaGa2Cu

A geometry-optimized PaGa2Cu structure (PBE-GGA, Alexandria).

Properties
Calculated formation energy ... 0.116 eV per atom
Space-group type ... No. 166
VASP energy ... -4.795 eV/atom

Cell and atoms, written as POSCAR:
```
PaGa2Cu
1.0
1.500 0.866 10.108
-1.500 0.866 10.108
0.000 -1.732 10.108
Pa Ga Cu
1 2 1
Cartesian
0.000 0.000 0.000
0.000 0.000 12.751
0.000 0.000 17.574
0.000 0.000 15.163
```

***

Record 5
# Pa2Ga7Cu12

A geometry-optimized Pa2Ga7Cu12 structure (PBE-GGA, Alexandria).

Properties
Calculated formation energy ... -0.100 eV per atom
Space-group type ... No. 147
VASP energy ... -4.354 eV/atom

Cell and atoms, written as POSCAR:
```
Pa2Ga7Cu12
1.0
9.525 0.000 0.000
-4.763 8.249 0.000
0.000 0.000 4.108
Pa Ga Cu
2 7 12
Cartesian
0.000 5.499 0.933
4.763 2.750 3.175
0.000 0.000 2.054
-2.292 5.869 2.927
0.826 3.330 2.927
3.297 0.950 1.181
1.466 7.299 2.927
3.937 4.919 1.181
7.054 2.380 1.181
-1.596 3.561 3.193
-0.013 2.142 0.827
-2.901 7.190 0.827
1.849 1.083 3.281
-0.881 7.851 3.193
2.286 3.162 0.914
2.477 5.087 3.193
5.644 0.398 0.914
2.914 7.166 0.827
7.663 1.060 3.281
4.776 6.107 3.281
6.358 4.688 0.914
```

***

Record 6
# Pa2Ga5Cu12

A geometry-optimized Pa2Ga5Cu12 structure (PBE-GGA, Alexandria).

Properties
Calculated formation energy ... -0.119 eV per atom
Space-group type ... No. 166
VASP energy ... -4.502 eV/atom

Cell and atoms, written as POSCAR:
```
Pa2Ga5Cu12
1.0
4.381 2.529 4.198
-4.381 2.529 4.198
0.000 -5.059 4.198
Pa Ga Cu
2 5 12
Cartesian
0.000 0.000 1.975
0.000 0.000 10.617
-2.191 -1.265 4.198
0.000 0.000 5.055
-2.190 1.265 8.395
0.000 2.529 4.198
0.000 0.000 7.537
0.000 -2.602 4.041
-2.253 1.301 4.041
-1.346 -2.331 6.296
-2.692 0.000 6.296
-2.253 -1.301 8.552
1.346 -2.331 6.296
-1.346 2.331 6.296
2.253 1.301 4.041
2.692 0.000 6.296
1.346 2.331 6.296
2.253 -1.301 8.552
0.000 2.602 8.552
```

***

Record 7
# PaGa2Cu2

A geometry-optimized PaGa2Cu2 structure (PBE-GGA, Alexandria).

Properties
Distance to the lowest polymorph of the same formula ... 0 meV/atom
Calculated formation energy ... -0.270 eV per atom
Space-group type ... No. 129
VASP energy ... -5.018 eV/atom

Cell and atoms, written as POSCAR:
```
PaGa2Cu2
1.0
4.151 0.000 0.000
0.000 4.151 0.000
0.000 0.000 9.889
Pa Ga Cu
2 4 4
Cartesian
1.038 1.038 2.415
3.113 3.113 7.474
1.038 1.038 8.599
1.038 3.113 4.944
3.113 1.038 4.944
3.113 3.113 1.289
1.038 1.038 6.259
1.038 3.113 0.000
3.113 1.038 0.000
3.113 3.113 3.629
```

***

Record 8
# PaGa3Cu3

A geometry-optimized PaGa3Cu3 structure (PBE-GGA, Alexandria).

Properties
Calculated formation energy ... -0.004 eV per atom
Space-group type ... No. 148
VASP energy ... -4.414 eV/atom

Cell and atoms, written as POSCAR:
```
PaGa3Cu3
1.0
3.688 2.129 5.177
-3.688 2.129 5.177
0.000 -4.259 5.177
Pa Ga Cu
2 6 6
Cartesian
0.000 0.000 2.531
0.000 0.000 13.000
-1.268 -2.224 5.772
-2.560 -0.013 9.758
-1.292 2.210 5.772
1.292 -2.210 9.758
2.560 0.013 5.772
1.268 2.224 9.758
-1.690 -0.014 6.901
-0.833 -1.471 8.630
0.857 -1.457 6.901
-0.857 1.456 8.630
0.833 1.471 6.901
1.690 0.014 8.630
```

***

Record 9
# PaGa2Cu

A geometry-optimized PaGa2Cu structure (PBE-GGA, Alexandria).

Properties
Calculated formation energy ... -0.136 eV per atom
Space-group type ... No. 123
VASP energy ... -5.047 eV/atom

Cell and atoms, written as POSCAR:
```
PaGa2Cu
1.0
3.009 0.000 0.000
0.000 3.009 0.000
0.000 0.000 7.692
Pa Ga Cu
1 2 1
Cartesian
0.000 0.000 0.000
1.505 1.505 2.274
1.505 1.505 5.418
0.000 0.000 3.846
```

***

Record 10
# Pa2Ga6Cu

A geometry-optimized Pa2Ga6Cu structure (PBE-GGA, Alexandria).

Properties
Distance to the lowest polymorph of the same formula ... 53 meV/atom
Calculated formation energy ... -0.121 eV per atom
Space-group type ... No. 12
VASP energy ... -4.704 eV/atom

Cell and atoms, written as POSCAR:
```
Pa2Ga6Cu
1.0
7.694 -3.681 0.000
7.694 3.681 0.000
-0.004 0.000 3.097
Pa Ga Cu
2 6 1
Cartesian
3.118 0.000 0.000
12.265 0.000 3.097
5.567 1.305 1.551
7.694 2.316 0.000
9.816 1.305 1.546
5.567 -1.305 1.551
7.694 -2.316 0.000
9.816 -1.305 1.546
7.692 0.000 1.548
```

***

Record 11
# Pa3Ga5Cu

A geometry-optimized Pa3Ga5Cu structure (PBE-GGA, Alexandria).

Properties
Calculated formation energy ... -0.178 eV per atom
Space-group type ... No. 193
VASP energy ... -5.480 eV/atom

Cell and atoms, written as POSCAR:
```
Pa3Ga5Cu
1.0
8.660 0.000 0.000
-4.330 7.500 0.000
0.000 0.000 5.584
Pa Ga Cu
6 10 2
Cartesian
-1.748 3.028 1.396
-2.582 4.471 4.188
3.497 0.000 1.396
1.748 3.028 4.188
5.163 0.000 4.188
2.582 4.471 1.396
-1.083 1.877 4.188
-3.247 5.623 1.396
2.167 0.000 4.188
1.083 1.877 1.396
0.000 5.000 0.000
0.000 5.000 2.792
4.330 2.500 0.000
4.330 2.500 2.792
6.493 0.000 1.396
3.247 5.623 4.188
0.000 0.000 0.000
0.000 0.000 2.792
```

***

Record 12
# Pa2Ga5Cu3

A geometry-optimized Pa2Ga5Cu3 structure (PBE-GGA, Alexandria).

Properties
Calculated formation energy ... -0.295 eV per atom
Space-group type ... No. 72
VASP energy ... -4.936 eV/atom

Cell and atoms, written as POSCAR:
```
Pa2Ga5Cu3
1.0
-4.944 5.954 2.958
4.944 -5.954 2.958
4.944 5.954 -2.958
Pa Ga Cu
4 10 6
Cartesian
2.326 1.547 0.000
2.326 -1.547 2.958
2.618 7.501 0.000
2.618 4.408 2.958
4.944 -2.756 1.479
6.450 1.277 0.000
0.000 0.000 1.479
1.506 4.677 0.000
4.944 2.756 1.479
0.000 3.198 1.479
3.438 1.277 2.958
0.000 0.000 4.437
-1.506 4.677 2.958
0.000 8.710 1.479
3.816 -4.341 2.958
4.944 0.000 1.479
3.816 4.341 0.000
1.128 1.613 2.958
0.000 5.954 1.479
1.128 10.295 0.000
```

***

Record 13
# PaGa2Cu9

A geometry-optimized PaGa2Cu9 structure (PBE-GGA, Alexandria).

Properties
Calculated formation energy ... -0.051 eV per atom
Space-group type ... No. 166
VASP energy ... -4.419 eV/atom

Cell and atoms, written as POSCAR:
```
PaGa2Cu9
1.0
2.482 1.433 7.969
-2.482 1.433 7.969
0.000 -2.865 7.969
Pa Ga Cu
1 2 9
Cartesian
0.000 0.000 0.000
0.000 0.000 3.374
0.000 0.000 20.533
-1.262 -0.729 10.029
0.000 0.000 7.988
0.000 -1.458 13.877
-1.262 0.729 13.877
0.000 0.000 11.953
1.262 -0.729 10.029
0.000 1.458 10.029
0.000 0.000 15.918
1.262 0.729 13.877
```

***

Record 14
# PaGa2Cu3

A geometry-optimized PaGa2Cu3 structure (PBE-GGA, Alexandria).

Properties
Distance to the lowest polymorph of the same formula ... 49 meV/atom
Calculated formation energy ... -0.110 eV per atom
Space-group type ... No. 71
VASP energy ... -4.750 eV/atom

Cell and atoms, written as POSCAR:
```
PaGa2Cu3
1.0
-2.176 3.455 6.684
2.176 -3.455 6.684
2.176 3.455 -6.684
Pa Ga Cu
2 4 6
Cartesian
0.000 0.000 1.793
0.000 0.000 11.574
2.176 1.291 0.000
2.176 0.000 4.204
0.000 3.455 2.480
0.000 2.164 6.684
2.176 2.031 -2.408
0.000 2.290 0.000
2.176 2.031 2.408
0.000 1.424 4.276
0.000 4.620 0.000
0.000 1.424 9.092
```

***

Record 15
# PaGa2Cu

A geometry-optimized PaGa2Cu structure (PBE-GGA, Alexandria).

Properties
Calculated formation energy ... -0.119 eV per atom
Space-group type ... No. 123
VASP energy ... -5.031 eV/atom

Cell and atoms, written as POSCAR:
```
PaGa2Cu
1.0
4.208 0.000 0.000
0.000 4.208 0.000
0.000 0.000 4.311
Pa Ga Cu
1 2 1
Cartesian
0.000 0.000 0.000
0.000 2.104 2.156
2.104 0.000 2.156
2.104 2.104 0.000
```

***

Record 16
# PaGa3Cu

A geometry-optimized PaGa3Cu structure (PBE-GGA, Alexandria).

Properties
Distance to the lowest polymorph of the same formula ... 144 meV/atom
Calculated formation energy ... -0.129 eV per atom
Space-group type ... No. 51
VASP energy ... -4.663 eV/atom

Cell and atoms, written as POSCAR:
```
PaGa3Cu
1.0
7.747 0.000 0.000
0.000 2.993 0.000
0.000 0.000 8.289
Pa Ga Cu
2 6 2
Cartesian
1.937 0.000 0.502
5.810 0.000 7.787
0.405 1.496 6.536
1.937 1.496 3.234
3.468 1.496 6.536
4.279 1.496 1.752
5.810 1.496 5.055
7.342 1.496 1.752
1.937 0.000 5.200
5.810 0.000 3.088
```

***

Record 17
# Pa2Ga3Cu

A geometry-optimized Pa2Ga3Cu structure (PBE-GGA, Alexandria).

Properties
Distance to the lowest polymorph of the same formula ... 0 meV/atom
Calculated formation energy ... -0.267 eV per atom
Space-group type ... No. 25
VASP energy ... -5.629 eV/atom

Cell and atoms, written as POSCAR:
```
Pa2Ga3Cu
1.0
3.888 0.000 0.000
0.000 4.222 0.000
0.000 0.000 7.318
Pa Ga Cu
2 3 1
Cartesian
0.000 0.000 0.000
0.000 2.111 3.583
1.944 0.000 4.790
1.944 2.111 1.220
1.944 2.111 6.068
1.944 0.000 2.386
```

***

Record 18
# Pa3Ga4Cu2

A geometry-optimized Pa3Ga4Cu2 structure (PBE-GGA, Alexandria).

Properties
Distance to the lowest polymorph of the same formula ... 195 meV/atom
Calculated formation energy ... -0.074 eV per atom
Space-group type ... No. 71
VASP energy ... -5.494 eV/atom

Cell and atoms, written as POSCAR:
```
Pa3Ga4Cu2
1.0
-1.599 3.851 7.308
1.599 -3.851 7.308
1.599 3.851 -7.308
Pa Ga Cu
3 4 2
Cartesian
0.000 0.000 0.000
1.599 0.000 5.033
0.000 3.851 2.275
1.599 1.323 -2.255
1.599 1.323 2.255
0.000 2.528 5.053
0.000 2.528 9.563
1.599 2.604 0.000
0.000 1.247 7.308
```

***

Record 19
# Pa3Ga5Cu6

A geometry-optimized Pa3Ga5Cu6 structure (PBE-GGA, Alexandria).

Properties
Calculated formation energy ... -0.258 eV per atom
Space-group type ... No. 71
VASP energy ... -5.129 eV/atom

Cell and atoms, written as POSCAR:
```
Pa3Ga5Cu6
1.0
-2.163 4.278 6.383
2.163 -4.278 6.383
2.163 4.278 -6.383
Pa Ga Cu
3 5 6
Cartesian
0.000 0.000 0.000
0.000 0.000 3.801
0.000 0.000 8.966
2.163 -1.233 1.992
2.163 1.233 1.992
0.000 4.278 0.000
0.000 3.045 4.391
0.000 5.510 4.391
2.163 -1.855 4.590
2.163 2.742 0.000
0.000 2.422 1.794
2.163 1.855 4.590
0.000 1.536 6.383
0.000 6.133 1.794
```

***

Record 20
# Pa2Ga3Cu2

A geometry-optimized Pa2Ga3Cu2 structure (PBE-GGA, Alexandria).

Properties
Distance to the lowest polymorph of the same formula ... 122 meV/atom
Calculated formation energy ... -0.138 eV per atom
Space-group type ... No. 10
VASP energy ... -5.318 eV/atom

Cell and atoms, written as POSCAR:
```
Pa2Ga3Cu2
1.0
4.535 0.000 0.000
0.000 3.118 0.000
-2.249 0.000 9.342
Pa Ga Cu
2 3 2
Cartesian
0.002 0.000 2.674
2.283 0.000 6.667
0.000 1.559 0.000
0.013 1.559 5.412
2.272 1.559 3.929
0.017 1.559 8.072
2.268 1.559 1.270
```

***

Record 21
# Pa2GaCu3

A geometry-optimized Pa2GaCu3 structure (PBE-GGA, Alexandria).

Properties
Calculated formation energy ... -0.138 eV per atom
Space-group type ... No. 69
VASP energy ... -5.856 eV/atom

Cell and atoms, written as POSCAR:
```
Pa2GaCu3
1.0
0.000 4.432 7.680
3.183 0.000 7.680
3.183 4.432 0.000
Pa Ga Cu
4 2 6
Cartesian
4.910 4.432 7.680
1.591 2.216 3.840
4.774 6.648 11.520
1.455 4.432 7.680
3.183 4.432 5.157
3.183 4.432 10.203
3.183 4.432 2.568
3.183 2.243 6.413
3.183 2.243 8.947
3.183 6.621 6.413
3.183 6.621 8.947
3.183 4.432 12.791
```